First-principles (PBE-GGA) data for a relaxed Rb2TlTcF6 crystal, as listed in the Alexandria database. Values from VASP.

Uncorrected formation energy ... -22.196 eV per formula unit
Calculated volume ... 205.21 Å³/cell
Calculated density ... 4.75 g/cm3
Total magnetization ... 2.000 μB per formula unit
VASP energy ... -4.81 eV per atom

```
&SYSTEM
  ibrav = 0, nat = 10, ntyp = 4
/
ATOMIC_SPECIES
Rb 85.47 Rb.upf
Tl 204.38 Tl.upf
Tc 98.00 Tc.upf
F 19.00 F.upf
CELL_PARAMETERS angstrom
-3.304 3.304 4.701
3.304 -3.304 4.701
3.304 3.304 -4.701
ATOMIC_POSITIONS crystal
Rb 0.250 0.750 0.500
Rb 0.750 0.250 0.500
Tl 0.000 0.000 0.000
Tc 0.500 0.500 0.000
F 0.279 0.279 0.000
F 0.282 0.282 0.564
F 0.282 0.718 0.000
F 0.718 0.282 0.000
F 0.718 0.718 0.436
F 0.721 0.721 0.000
```